The following is a PBE+U calculation of crystalline Ac2FeBiO6 at its relaxed geometry, from Alexandria via LeMat-Bulk.

abc: 5.666 5.666 5.300
angles: 90.00 90.00 90.00
Space group P4mm (No. 99)
Unique sites:
Ac: 0.000 0.500 0.000
Fe: 0.000 0.000 0.582
Bi: 0.500 0.500 0.556
O: 0.000 0.000 0.224
O: 0.235 0.235 0.721
O: 0.500 0.500 0.122

D(E_F)   0.0 states/eV per cell
VASP energy   -7.004 eV/atom